Entry 1:
Below is DyMg3 at its PBEsol-relaxed geometry, with properties calculated at the SCAN level.

The structure belongs to space group P6_3/mmc (No. 194); the cell edges are 6.6122, 6.6122 and 5.1336 Å and the angles 90.00°, 90.00° and 120.00°. The asymmetric unit holds Dy at (0.3333, 0.6667, 0.2500) and Mg at (0.1639, 0.3277, 0.7500).

The volume is 24.297 Å³ per atom. As for the density: 4.0 g/cm³. As for the density of states at the Fermi level: 6.55 states/eV/cell. The formation energy is -0.0573 eV per atom.

=====

Entry 2:
Below is Dy3Mg2MnS8 at its PBEsol-relaxed geometry, with properties calculated at the SCAN level.

The structure belongs to space group R-3m (No. 166, hexagonal axes); the cell edges are 7.7136, 7.7136 and 18.4726 Å and the angles 90.00°, 90.00° and 120.00°. The asymmetric unit holds Dy at (0.0000, 0.5000, 0.0000), Mg at (0.0000, 0.0000, 0.1238), Mn at (0.0000, 0.0000, 0.5000), S at (0.0000, 0.0000, 0.2543) and S at (0.0273, 0.5136, 0.2440).

The volume is 22.663 Å³ per atom. As for the density: 4.4 g/cm³. As for the density of states at the Fermi level: 7.53 states/eV/cell. Its uncorrected formation energy is -1.84 eV/atom.

=====

Entry 3:
Below is Dy2MgPd2 at its PBEsol-relaxed geometry, with properties calculated at the SCAN level.

The structure belongs to space group P4/mbm (No. 127); the cell edges are 7.5696, 7.5696 and 3.7332 Å and the angles 90.00°, 90.00° and 90.00°. The asymmetric unit holds Dy at (0.1679, 0.3321, 0.0000), Mg at (0.0000, 0.0000, 0.5000) and Pd at (0.1319, 0.6319, 0.5000).

The volume is 21.391 Å³ per atom. As for the density: 8.7 g/cm³. As for the density of states at the Fermi level: 6.13 states/eV/cell. The formation energy is -0.8685 eV per atom.

=====

Entry 4:
Below is Dy4MgRh at its PBEsol-relaxed geometry, with properties calculated at the SCAN level.

The structure belongs to space group F-43m (No. 216); the cell edges are 13.4858, 13.4858 and 13.4858 Å and the angles 90.00°, 90.00° and 90.00°. The asymmetric unit holds Dy at (0.0000, 0.0000, 0.1857), Dy at (0.0630, 0.2500, 0.2500), Dy at (0.0968, 0.0968, 0.5968), Mg at (0.1701, 0.1701, 0.8299) and Rh at (0.1080, 0.1080, 0.3920).

The volume is 25.548 Å³ per atom. As for the density: 8.4 g/cm³. As for the density of states at the Fermi level: 79.58 states/eV/cell. The formation energy is -0.4642 eV per atom.

=====

Entry 5:
Below is DyMgRh2 at its PBEsol-relaxed geometry, with properties calculated at the SCAN level.

The structure belongs to space group Fm-3m (No. 225); the cell edges are 6.4664, 6.4664 and 6.4664 Å and the angles 90.00°, 90.00° and 90.00°. The asymmetric unit holds Dy at (0.0000, 0.0000, 0.0000), Mg at (0.0000, 0.0000, 0.5000) and Rh at (0.2500, 0.2500, 0.2500).

The volume is 16.899 Å³ per atom. As for the density: 9.6 g/cm³. As for the density of states at the Fermi level: 7.23 states/eV/cell. The formation energy is -0.8101 eV per atom.

=====

Entry 6:
Below is Dy2MgS4 at its PBEsol-relaxed geometry, with properties calculated at the SCAN level.

The structure belongs to space group Fd-3m (No. 227, origin choice 2); the cell edges are 11.0428, 11.0428 and 11.0428 Å and the angles 90.00°, 90.00° and 90.00°. The asymmetric unit holds Dy at (0.0000, 0.0000, 0.0000), Mg at (0.1250, 0.1250, 0.6250) and S at (0.0048, 0.0048, 0.2452).

The volume is 24.046 Å³ per atom. As for the density: 4.7 g/cm³. As for the density of states at the Fermi level: 0.00 states/eV/cell. Its uncorrected formation energy is -2.15 eV/atom. The calculation puts the excess energy over the best structure of this formula in the dataset at 0.000 eV/atom.

=====

Entry 7:
Below is Dy2MgS4 at its PBEsol-relaxed geometry, with properties calculated at the SCAN level.

The structure belongs to space group I-42d (No. 122); the cell edges are 8.0362, 8.0362 and 8.3567 Å and the angles 90.00°, 90.00° and 90.00°. The asymmetric unit holds Dy at (0.1285, 0.7500, 0.1250), Mg at (0.0000, 0.0000, 0.5000) and S at (0.0697, 0.6909, 0.4423).

The volume is 19.274 Å³ per atom. As for the density: 5.9 g/cm³. As for the density of states at the Fermi level: 0.00 states/eV/cell. Its uncorrected formation energy is -2.07 eV/atom. The calculation puts the excess energy over the best structure of this formula in the dataset at 0.083 eV/atom.

=====

Entry 8:
Below is Dy4MgS7 at its PBEsol-relaxed geometry, with properties calculated at the SCAN level.

The structure belongs to space group Cm (No. 8); the cell edges are 12.4357, 3.7595 and 11.3069 Å and the angles 90.00°, 105.31° and 90.00°. The asymmetric unit holds Dy at (0.0000, 0.0000, 0.0000), Dy at (0.0876, 0.5000, 0.3700), Dy at (0.1936, 0.5000, 0.8081), Dy at (0.3859, 0.0000, 0.5948), Mg at (0.3166, 0.5000, 0.2256), S at (0.0331, 0.0000, 0.7485), S at (0.1604, 0.5000, 0.0288), S at (0.2176, 0.0000, 0.3167), S at (0.2332, 0.5000, 0.5890), S at (0.3560, 0.0000, 0.8497), S at (0.4323, 0.0000, 0.1523) and S at (0.4600, 0.5000, 0.4435).

The volume is 21.244 Å³ per atom. As for the density: 5.9 g/cm³. Its uncorrected formation energy is -2.23 eV/atom.

=====

Question: What is the formula in the seventh record?
Answer: Dy2MgS4

=====

Please write out number 8 again, unchanged.
Below is Dy4MgS7 at its PBEsol-relaxed geometry, with properties calculated at the SCAN level.

The structure belongs to space group Cm (No. 8); the cell edges are 12.4357, 3.7595 and 11.3069 Å and the angles 90.00°, 105.31° and 90.00°. The asymmetric unit holds Dy at (0.0000, 0.0000, 0.0000), Dy at (0.0876, 0.5000, 0.3700), Dy at (0.1936, 0.5000, 0.8081), Dy at (0.3859, 0.0000, 0.5948), Mg at (0.3166, 0.5000, 0.2256), S at (0.0331, 0.0000, 0.7485), S at (0.1604, 0.5000, 0.0288), S at (0.2176, 0.0000, 0.3167), S at (0.2332, 0.5000, 0.5890), S at (0.3560, 0.0000, 0.8497), S at (0.4323, 0.0000, 0.1523) and S at (0.4600, 0.5000, 0.4435).

The volume is 21.244 Å³ per atom. As for the density: 5.9 g/cm³. Its uncorrected formation energy is -2.23 eV/atom.

=====

Question: The lowest density belongs to which entry?
Answer: DyMg3